K3Y3AlO8: optimized geometry, GGA-PBE.

Energy (eV per atom): -6.980

abc: 7.3820 7.3820 7.3820
angles: 54.30 54.30 54.30
Fractional coordinates of all 15 atoms:
K 0.0000 0.5000 0.5000
K 0.5000 0.0000 0.5000
K 0.5000 0.5000 0.0000
Y 0.0000 0.0000 0.5000
Y 0.0000 0.5000 0.0000
Y 0.5000 0.0000 0.0000
Al 0.5000 0.5000 0.5000
O 0.2283 0.2283 0.2283
O 0.2604 0.7036 0.7036
O 0.2964 0.2964 0.7396
O 0.2964 0.7396 0.2964
O 0.7036 0.2604 0.7036
O 0.7036 0.7036 0.2604
O 0.7396 0.2964 0.2964
O 0.7717 0.7717 0.7717

---

SrCa3Si2: optimized geometry, GGA-PBE.

Energy (eV per atom): -3.541

abc: 4.8803 9.0831 7.8650
angles: 90.00 90.00 90.00
Fractional coordinates of all 12 atoms:
Sr 0.0000 0.0704 0.0000
Sr 0.0000 0.9296 0.5000
Ca 0.0000 0.3286 0.6310
Ca 0.0000 0.6714 0.1310
Ca 0.5000 0.1813 0.3299
Ca 0.5000 0.4267 0.9571
Ca 0.5000 0.5733 0.4571
Ca 0.5000 0.8187 0.8299
Si 0.0000 0.3581 0.2420
Si 0.0000 0.6419 0.7420
Si 0.5000 0.1473 0.7209
Si 0.5000 0.8527 0.2209

---

CeCO4: optimized geometry, GGA-PBE.

Energy (eV per atom): -8.066

abc: 3.6371 5.8126 11.4781
angles: 90.00 94.14 90.00
Fractional coordinates of all 12 atoms:
Ce 0.2378 0.2500 0.4461
Ce 0.7622 0.7500 0.5539
C 0.0278 0.7500 0.8993
C 0.9722 0.2500 0.1007
O 0.1636 0.2500 0.1876
O 0.2158 0.7500 0.9871
O 0.2697 0.5174 0.5865
O 0.2697 0.9826 0.5865
O 0.7303 0.0174 0.4135
O 0.7303 0.4826 0.4135
O 0.7842 0.2500 0.0129
O 0.8364 0.7500 0.8124